Model a:
Compound: LaSb2TePt
Source: Alexandria
Functional: PBE-GGA
Structure: relaxed

Output
Spin magnetization   0.00 μB per formula unit

abc: 5.2349 5.2349 5.4938
angles: 90.00 90.00 90.00
Space group P4/mmm (No. 123)
One atom of each set of equivalent atoms:
La 0.0000 0.0000 0.0000 [1 per cell]
Sb 0.0000 0.5000 0.5000 [2 per cell]
Te 0.5000 0.5000 0.0000 [1 per cell]
Pt 0.5000 0.5000 0.5000 [1 per cell]



Model b:
Compound: LaSb2TePt
Source: Alexandria
Functional: PBE-GGA
Structure: relaxed

Output
Spin magnetization   0.00 μB per formula unit

abc: 6.0377 6.0377 5.9329
angles: 90.00 90.00 90.00
Space group P4/mmm (No. 123)
One atom of each set of equivalent atoms:
La 0.0000 0.0000 0.0000 [1 per cell]
Sb 0.0000 0.5000 0.0000 [2 per cell]
Te 0.0000 0.0000 0.5000 [1 per cell]
Pt 0.5000 0.5000 0.5000 [1 per cell]



Relative energies, kJ/mol of atoms: model a 0.0; model b 132.3.



Model a:
Compound: LaScPt
Source: Alexandria
Functional: PBE-GGA
Structure: relaxed

Output
Spin magnetization   0.00 μB per formula unit

abc: 6.7258 6.7258 6.7258
angles: 90.00 90.00 90.00
Space group F-43m (No. 216)
One atom of each set of equivalent atoms:
La 0.0000 0.0000 0.0000 [4 per cell]
Sc 0.2500 0.2500 0.2500 [4 per cell]
Pt 0.2500 0.2500 0.7500 [4 per cell]



Model b:
Compound: LaScPt
Source: Alexandria
Functional: PBE-GGA
Structure: relaxed

Output
Spin magnetization   0.00 μB per formula unit

abc: 4.5302 4.5302 4.3792
angles: 90.00 90.00 120.00
Space group P3m1 (No. 156)
One atom of each set of equivalent atoms:
La 0.0000 0.0000 0.0000 [1 per cell]
Sc 0.3333 0.6667 0.5050 [1 per cell]
Pt 0.6667 0.3333 0.3971 [1 per cell]



Model c:
Compound: LaScPt
Source: Alexandria
Functional: PBE-GGA
Structure: relaxed

Output
Spin magnetization   0.00 μB per formula unit

abc: 6.5468 6.5472 7.0022
angles: 90.00 91.19 90.00
Space group C2/m (No. 12)
One atom of each set of equivalent atoms:
La 0.2496 0.0000 0.1216 [4 per cell]
Sc 0.0000 0.2483 0.5000 [4 per cell]
Pt 0.2418 0.5000 0.2893 [4 per cell]



Model d:
Compound: LaScPt
Source: Alexandria
Functional: PBE-GGA
Structure: relaxed

Output
Spin magnetization   0.00 μB per formula unit

abc: 3.4866 3.4866 12.3039
angles: 90.00 90.00 90.00
Space group I4mm (No. 107)
One atom of each set of equivalent atoms:
La 0.0000 0.0000 0.0000 [2 per cell]
Sc 0.0000 0.0000 0.2707 [2 per cell]
Pt 0.0000 0.0000 0.6689 [2 per cell]



Relative energies, kJ/mol of atoms: model a 87.2; model b 20.7; model c 0.0; model d 16.7.



Model a:
Compound: La2ScPt
Source: Alexandria
Functional: PBE-GGA
Structure: relaxed

Output
Spin magnetization   0.00 μB per formula unit

abc: 3.5178 3.5178 8.9512
angles: 90.00 90.00 90.00
Space group P4mm (No. 99)
One atom of each set of equivalent atoms:
La 0.0000 0.0000 0.0000 [1 per cell]
La 0.5000 0.5000 0.3411 [1 per cell]
Sc 0.5000 0.5000 0.7077 [1 per cell]
Pt 0.0000 0.0000 0.5644 [1 per cell]



Model b:
Compound: La2ScPt
Source: Alexandria
Functional: PBE-GGA
Structure: relaxed

Output
Spin magnetization   0.00 μB per formula unit

abc: 3.9023 3.9023 27.7012
angles: 90.00 90.00 120.00
Space group R-3m (No. 166, hexagonal axes)
One atom of each set of equivalent atoms:
La 0.0000 0.0000 0.2346 [6 per cell]
Sc 0.0000 0.0000 0.0000 [3 per cell]
Pt 0.0000 0.0000 0.5000 [3 per cell]



Relative energies, kJ/mol of atoms: model a 0.0; model b 13.7.